Entry 1:
DFT (PBE) results for Pr2HoCd after structural relaxation.

As for the total magnetization: 0.0 Bohr magnetons per cell. Its final energy is -3.6219 eV/atom. For the energy relative to the lowest polymorph listed for this composition, the calculation gives 292 meV/atom. Its formation energy is 0.14 eV per atom.

extended XYZ file:
```
4
Lattice="1.772 1.023 12.465 -1.772 1.023 12.465 0.000 -2.046 12.465" Properties=species:S:1:pos:R:3 pbc="T T T"
Pr 0.000 0.000 3.335
Pr 0.000 0.000 34.059
Ho 0.000 0.000 18.697
Cd 0.000 0.000 0.000
```


Entry 2:
DFT (PBE) results for PrHoCd14 after structural relaxation.

As for the total magnetization: 0.0 Bohr magnetons per cell. Its final energy is -1.5267 eV/atom. Its formation energy is -0.14 eV per atom.

extended XYZ file:
```
16
Lattice="6.659 0.000 0.000 0.000 6.659 0.000 0.000 0.000 8.494" Properties=species:S:1:pos:R:3 pbc="T T T"
Pr 0.000 0.000 0.000
Ho 3.330 3.330 0.000
Cd 0.000 0.000 4.247
Cd 0.000 3.330 0.000
Cd 0.000 3.330 4.247
Cd 1.690 1.690 2.214
Cd 1.690 1.690 6.280
Cd 1.690 4.969 2.214
Cd 1.690 4.969 6.280
Cd 3.330 0.000 0.000
Cd 3.330 0.000 4.247
Cd 3.330 3.330 4.247
Cd 4.969 1.690 2.214
Cd 4.969 1.690 6.280
Cd 4.969 4.969 2.214
Cd 4.969 4.969 6.280
```


Entry 3:
DFT (PBE) results for PrHo2Cd after structural relaxation.

As for the total magnetization: 0.0 Bohr magnetons per cell. Its final energy is -3.8575 eV/atom. For the energy relative to the lowest polymorph listed for this composition, the calculation gives 0 meV/atom. Its formation energy is -0.14 eV per atom.

extended XYZ file:
```
4
Lattice="3.656 0.000 0.000 0.000 3.656 0.000 0.000 0.000 8.931" Properties=species:S:1:pos:R:3 pbc="T T T"
Pr 0.000 0.000 0.000
Ho 1.828 1.828 2.524
Ho 1.828 1.828 6.407
Cd 0.000 0.000 4.465
```


Entry 4:
DFT (PBE) results for PrHo6Cd after structural relaxation.

As for the total magnetization: 0.0 Bohr magnetons per cell. Its final energy is -4.0561 eV/atom. Its formation energy is 0.09 eV per atom.

extended XYZ file:
```
8
Lattice="6.271 0.000 0.000 -0.338 6.272 0.000 -0.304 -0.331 6.267" Properties=species:S:1:pos:R:3 pbc="T T T"
Pr 0.000 0.000 0.000
Ho -0.172 4.521 3.025
Ho 1.124 2.934 6.026
Ho 2.789 -0.016 4.677
Ho 2.840 5.957 1.590
Ho 4.505 3.007 0.241
Ho 5.801 1.420 3.241
Cd 2.815 2.970 3.133
```


Entry 5:
DFT (PBE) results for Pr12Ho5Cd2 after structural relaxation.

As for the total magnetization: 0.0 Bohr magnetons per cell. Its final energy is -4.2808 eV/atom. Its formation energy is 0.04 eV per atom.

extended XYZ file:
```
19
Lattice="7.870 -4.670 0.000 7.870 4.670 0.000 -0.463 0.000 8.652" Properties=species:S:1:pos:R:3 pbc="T T T"
Pr 0.782 0.000 2.850
Pr 5.738 2.852 2.835
Pr 5.170 1.731 6.628
Pr 9.539 2.852 5.817
Pr 6.538 0.000 1.019
Pr 10.107 1.731 2.023
Pr 5.170 -1.731 6.628
Pr 8.740 0.000 7.633
Pr 5.738 -2.852 2.835
Pr 10.107 -1.731 2.023
Pr 9.539 -2.852 5.817
Pr 14.496 0.000 5.802
Ho 3.057 0.000 0.170
Ho 4.028 0.000 3.659
Ho 7.639 0.000 4.326
Ho 11.249 0.000 4.993
Ho 12.220 0.000 8.482
Cd 7.870 3.098 0.000
Cd 7.870 -3.098 0.000
```


Entry 6:
DFT (PBE) results for PrHo2Cd after structural relaxation.

As for the total magnetization: 0.0 Bohr magnetons per cell. Its final energy is -3.7912 eV/atom. For the energy relative to the lowest polymorph listed for this composition, the calculation gives 66 meV/atom. Its formation energy is -0.08 eV per atom.

extended XYZ file:
```
4
Lattice="1.802 1.040 10.836 -1.802 1.040 10.836 0.000 -2.081 10.836" Properties=species:S:1:pos:R:3 pbc="T T T"
Pr 0.000 0.000 0.000
Ho 0.000 0.000 7.890
Ho 0.000 0.000 24.617
Cd 0.000 0.000 16.254
```


Entry 7:
DFT (PBE) results for Pr6HoCd3 after structural relaxation.

As for the total magnetization: 0.0 Bohr magnetons per cell. Its final energy is -3.6757 eV/atom. Its formation energy is -0.08 eV per atom.

extended XYZ file:
```
20
Lattice="4.989 -9.341 0.000 4.989 9.341 0.000 0.000 0.000 6.910" Properties=species:S:1:pos:R:3 pbc="T T T"
Pr 4.989 8.356 3.455
Pr 3.027 3.930 0.716
Pr 3.134 0.872 2.131
Pr 4.989 4.152 3.724
Pr 3.134 -0.872 5.586
Pr 6.951 3.930 0.716
Pr 3.027 -3.930 4.171
Pr 6.844 0.872 2.131
Pr 4.989 -4.152 0.269
Pr 6.844 -0.872 5.586
Pr 6.951 -3.930 4.171
Pr 4.989 -8.356 0.000
Ho 4.989 6.633 6.376
Ho 4.989 -6.633 2.922
Cd 2.296 2.252 4.967
Cd 2.296 -2.252 1.512
Cd 4.989 1.730 6.200
Cd 4.989 -1.730 2.745
Cd 7.682 2.252 4.967
Cd 7.682 -2.252 1.512
```


Entry 8:
DFT (PBE) results for Pr2HoCd4 after structural relaxation.

As for the total magnetization: 0.0 Bohr magnetons per cell. Its final energy is -2.6766 eV/atom. For the energy relative to the lowest polymorph listed for this composition, the calculation gives 0 meV/atom. Its formation energy is -0.13 eV per atom.

extended XYZ file:
```
7
Lattice="2.659 1.535 8.688 -2.659 1.535 8.688 0.000 -3.071 8.688" Properties=species:S:1:pos:R:3 pbc="T T T"
Pr 0.000 0.000 6.500
Pr 0.000 0.000 19.564
Ho 0.000 0.000 0.000
Cd 0.000 0.000 3.261
Cd 0.000 0.000 9.820
Cd 0.000 0.000 16.244
Cd 0.000 0.000 22.803
```


Entry 9:
DFT (PBE) results for Pr2Ho7Cd2 after structural relaxation.

As for the total magnetization: 0.0 Bohr magnetons per cell. Its final energy is -3.9110 eV/atom. Its formation energy is 0.04 eV per atom.

extended XYZ file:
```
11
Lattice="4.583 -4.760 0.000 4.583 4.760 0.000 -2.036 0.000 7.813" Properties=species:S:1:pos:R:3 pbc="T T T"
Pr 4.583 3.032 0.000
Pr 4.583 -3.032 0.000
Ho -1.018 0.000 3.906
Ho 2.276 1.911 2.585
Ho 0.836 0.000 7.525
Ho 4.854 1.911 5.228
Ho 2.276 -1.911 2.585
Ho 6.294 0.000 0.288
Ho 4.854 -1.911 5.228
Cd 2.320 0.000 5.034
Cd 4.810 0.000 2.779
```


Entry 10:
DFT (PBE) results for PrHoCdSi after structural relaxation.

As for the total magnetization: 0.0 Bohr magnetons per cell. Its final energy is -4.2938 eV/atom.

extended XYZ file:
```
4
Lattice="0.000 3.675 3.675 3.675 0.000 3.675 3.675 3.675 0.000" Properties=species:S:1:pos:R:3 pbc="T T T"
Pr 0.000 0.000 0.000
Ho 3.675 3.675 3.675
Cd 5.513 5.513 5.513
Si 1.838 1.838 1.838
```


Entry 11:
DFT (PBE) results for PrHoCdSn after structural relaxation.

As for the total magnetization: 0.0 Bohr magnetons per cell. Its final energy is -4.0730 eV/atom. Its formation energy is -0.50 eV per atom.

extended XYZ file:
```
4
Lattice="0.000 3.802 3.802 3.802 0.000 3.802 3.802 3.802 0.000" Properties=species:S:1:pos:R:3 pbc="T T T"
Pr 0.000 0.000 0.000
Ho 3.802 3.802 3.802
Cd 5.702 5.702 5.702
Sn 1.901 1.901 1.901
```


Entry 12:
DFT (PBE) results for Pr2HoCd2Sn2 after structural relaxation.

As for the total magnetization: 0.0 Bohr magnetons per cell. Its final energy is -3.7368 eV/atom. Its formation energy is -0.31 eV per atom.

extended XYZ file:
```
7
Lattice="2.517 1.453 9.049 -2.517 1.453 9.049 0.000 -2.907 9.049" Properties=species:S:1:pos:R:3 pbc="T T T"
Pr 0.000 0.000 3.455
Pr 0.000 0.000 23.692
Ho 0.000 0.000 0.000
Cd 0.000 0.000 10.711
Cd 0.000 0.000 16.436
Sn 0.000 0.000 7.234
Sn 0.000 0.000 19.913
```


Among the records above, which one has the lowest final energy?
PrHoCdSi


Which of these has the highest final energy?
PrHoCd14


Which of these has the highest final energy?
PrHoCd14


Copy entry 5 word for word.
DFT (PBE) results for Pr12Ho5Cd2 after structural relaxation.

As for the total magnetization: 0.0 Bohr magnetons per cell. Its final energy is -4.2808 eV/atom. Its formation energy is 0.04 eV per atom.

extended XYZ file:
```
19
Lattice="7.870 -4.670 0.000 7.870 4.670 0.000 -0.463 0.000 8.652" Properties=species:S:1:pos:R:3 pbc="T T T"
Pr 0.782 0.000 2.850
Pr 5.738 2.852 2.835
Pr 5.170 1.731 6.628
Pr 9.539 2.852 5.817
Pr 6.538 0.000 1.019
Pr 10.107 1.731 2.023
Pr 5.170 -1.731 6.628
Pr 8.740 0.000 7.633
Pr 5.738 -2.852 2.835
Pr 10.107 -1.731 2.023
Pr 9.539 -2.852 5.817
Pr 14.496 0.000 5.802
Ho 3.057 0.000 0.170
Ho 4.028 0.000 3.659
Ho 7.639 0.000 4.326
Ho 11.249 0.000 4.993
Ho 12.220 0.000 8.482
Cd 7.870 3.098 0.000
Cd 7.870 -3.098 0.000
```